No. 1
Density functional theory data (GGA-PBE) for a relaxed CuNi2S crystal.

Computed properties:
Total magnetization   0.00 μB/f.u.
Raw total energy   -4.76 eV/atom
DOS(E_F)   4.8 states/eV/f.u.
Calculated density   6.957 g/cm3

Lattice parameters (Å, degrees): 3.614 3.614 15.570 90.00 90.00 90.00
Space group I-42d (No. 122)
Symmetry-distinct sites (fractional):
1 Cu 0.000 0.000 0.000
2 Ni 0.216 0.250 0.625
3 S 0.000 0.000 0.500

***

No. 2
Density functional theory data (GGA-PBE) for a relaxed MgH3Rh crystal.

Computed properties:
Total magnetization   0.00 μB/f.u.
Raw total energy   -3.76 eV/atom
DOS(E_F)   0.8 states/eV/f.u.
Calculated density   4.658 g/cm3

Lattice parameters (Å, degrees): 3.391 3.391 16.151 90.00 90.00 90.00
Space group I-4m2 (No. 119)
Symmetry-distinct sites (fractional):
1 Mg 0.000 0.000 0.000
2 Mg 0.000 0.500 0.250
3 H 0.000 0.000 0.331
4 H 0.000 0.207 0.126
5 Rh 0.000 0.500 0.644

***

No. 3
Density functional theory data (GGA-PBE) for a relaxed RbSrTe2I crystal.

Computed properties:
Total magnetization   1.47 μB/f.u.
Raw total energy   -2.90 eV/atom
Energy above the lowest structure with this stoichiometry   0 meV/atom
DOS(E_F)   6.8 states/eV/f.u.
Calculated density   3.539 g/cm3

Lattice parameters (Å, degrees): 6.326 6.326 6.509 90.00 90.00 90.00
Space group P4/mmm (No. 123)
Symmetry-distinct sites (fractional):
1 Rb 0.000 0.000 0.000
2 Sr 0.500 0.500 0.500
3 Te 0.000 0.500 0.500
4 I 0.500 0.500 0.000

***

No. 4
Density functional theory data (GGA-PBE) for a relaxed Rb2CeTe3O12 crystal.

Computed properties:
Total magnetization   0.00 μB/f.u.
Raw total energy   -5.84 eV/atom
Calculated density   4.862 g/cm3

Lattice parameters (Å, degrees): 7.3618 7.3618 19.3400 90.00 90.00 120.00
Space group R-3m (No. 166, hexagonal axes)
Symmetry-distinct sites (fractional):
1 Rb 0.0000 0.0000 0.1157
2 Ce 0.0000 0.0000 0.5000
3 Te 0.0000 0.5000 0.0000
4 O 0.0562 0.5281 0.0968
5 O 0.0674 0.5337 0.3517